Compound: Pm5Pr2Pb4
Source: Alexandria
Functional: PBE-GGA
Structure: relaxed

Calculated values
- spin magnetization (μB/atom) = 0.00
- energy relative to the elements (meV/atom) = -151

Unit cell a=3.5957 b=7.6243 c=13.9580 alpha=92.27 beta=97.40 gamma=90.00
Element x y z (fractional)
Pm 0.1414 0.8353 0.2828
Pm 0.8586 0.1647 0.7172
Pm 0.2353 0.2105 0.4706
Pm 0.5000 0.0000 0.0000
Pm 0.7647 0.7895 0.5294
Pr 0.9109 0.7091 0.8217
Pr 0.0891 0.2909 0.1783
Pb 0.6754 0.4998 0.3508
Pb 0.0335 0.6665 0.0670
Pb 0.3246 0.5002 0.6492
Pb 0.9665 0.3335 0.9330



Compound: Pm2Pr3Pb
Source: Alexandria
Functional: PBE-GGA
Structure: relaxed

Calculated values
- spin magnetization (μB/atom) = 0.00
- energy relative to the elements (meV/atom) = -195

Unit cell a=5.0431 b=5.0087 c=8.2620 alpha=107.64 beta=90.00 gamma=90.00
Element x y z (fractional)
Pm 0.0000 0.6623 0.3247
Pm 0.0000 0.3377 0.6753
Pr 0.5000 0.1646 0.3292
Pr 0.5000 0.5000 0.0000
Pr 0.5000 0.8354 0.6708
Pb 0.0000 0.0000 0.0000



Compound: Pm3Pr4Pb4
Source: Alexandria
Functional: PBE-GGA
Structure: relaxed

Calculated values
- spin magnetization (μB/atom) = 0.00
- energy relative to the elements (meV/atom) = -421

Unit cell a=3.6865 b=9.9184 c=11.1557 alpha=116.39 beta=99.51 gamma=90.00
Element x y z (fractional)
Pm 0.0904 0.0904 0.1807
Pm 0.9096 0.9096 0.8193
Pm 0.0000 0.5000 0.0000
Pr 0.3366 0.1605 0.6732
Pr 0.6634 0.4874 0.3268
Pr 0.6634 0.8395 0.3268
Pr 0.3366 0.5126 0.6732
Pb 0.2754 0.7754 0.5508
Pb 0.7246 0.2246 0.4492
Pb 0.5000 0.7769 0.0000
Pb 0.5000 0.2231 0.0000



Compound: Pm4PrPb2
Source: Alexandria
Functional: PBE-GGA
Structure: relaxed

Calculated values
- spin magnetization (μB/atom) = 0.00
- energy relative to the elements (meV/atom) = 23

Unit cell a=6.0428 b=6.0428 c=7.7171 alpha=113.05 beta=113.05 gamma=90.00
Element x y z (fractional)
Pm 0.7500 0.2500 0.5000
Pm 0.2500 0.7500 0.5000
Pm 0.5000 0.0000 0.0000
Pm 0.0000 0.5000 0.0000
Pr 0.0000 0.0000 0.0000
Pb 0.6327 0.6327 0.2654
Pb 0.3673 0.3673 0.7346



Compound: Pm3Pr2Pb
Source: Alexandria
Functional: PBE-GGA
Structure: relaxed

Calculated values
- spin magnetization (μB/atom) = 0.00
- energy relative to the elements (meV/atom) = -116

Unit cell a=6.7685 b=6.8592 c=9.3440 alpha=100.55 beta=111.23 gamma=90.00
Element x y z (fractional)
Pm 0.7525 0.2500 0.0000
Pm 0.2475 0.7500 0.0000
Pm 0.0971 0.1344 0.3132
Pm 0.7839 0.3656 0.6868
Pm 0.2161 0.6344 0.3132
Pm 0.9029 0.8656 0.6868
Pr 0.7174 0.5215 0.3142
Pr 0.5968 0.0215 0.3142
Pr 0.4032 0.9785 0.6858
Pr 0.2826 0.4785 0.6858
Pb 0.7503 0.7500 0.0000
Pb 0.2497 0.2500 0.0000



Compound: PmPr5Pb5
Source: Alexandria
Functional: PBE-GGA
Structure: relaxed

Calculated values
- spin magnetization (μB/atom) = 0.05
- energy relative to the elements (meV/atom) = -346

Unit cell a=6.4704 b=8.0317 c=8.9055 alpha=106.10 beta=90.00 gamma=113.75
Element x y z (fractional)
Pm 0.0000 0.0000 0.0000
Pr 0.6670 0.3340 0.3350
Pr 0.6670 0.3339 0.8321
Pr 0.0000 0.0000 0.5000
Pr 0.3330 0.6661 0.1679
Pr 0.3330 0.6660 0.6650
Pb 0.8356 0.6713 0.1690
Pb 0.8359 0.6718 0.6673
Pb 0.5000 0.0000 0.0000
Pb 0.1641 0.3282 0.3327
Pb 0.1644 0.3287 0.8310



Compound: Pm3PrPb4
Source: Alexandria
Functional: PBE-GGA
Structure: relaxed

Calculated values
- spin magnetization (μB/atom) = 0.00
- energy relative to the elements (meV/atom) = -508

Unit cell a=5.1236 b=5.1254 c=9.8208 alpha=104.99 beta=105.12 gamma=90.00
Element x y z (fractional)
Pr 0.5000 0.0000 0.0000
Pb 0.3742 0.3742 0.7484
Pb 0.6258 0.6258 0.2516
Pb 0.1258 0.1257 0.2516
Pb 0.8742 0.8743 0.7484
Pm 0.0000 0.5000 0.0000
Pm 0.7501 0.2501 0.5002
Pm 0.2499 0.7499 0.4998



Compound: PmPrPb
Source: Alexandria
Functional: PBE-GGA
Structure: relaxed

Calculated values
- spin magnetization (μB/atom) = 0.00
- energy relative to the elements (meV/atom) = -235

Unit cell a=3.9736 b=5.3426 c=5.3426 alpha=120.00 beta=90.00 gamma=90.00
Element x y z (fractional)
Pb 0.3574 0.6667 0.3333
Pr 0.0432 0.0000 0.0000
Pm 0.5994 0.3333 0.6667



Compound: Pm2Pr2Pb5
Source: Alexandria
Functional: PBE-GGA
Structure: relaxed

Calculated values
- spin magnetization (μB/atom) = 0.00
- energy relative to the elements (meV/atom) = -441

Unit cell a=8.3727 b=8.3740 c=9.4391 alpha=116.33 beta=90.00 gamma=90.00
Element x y z (fractional)
Pm 0.6653 0.8348 0.0000
Pm 0.3347 0.1652 0.0000
Pm 0.1653 0.6652 0.0000
Pm 0.8347 0.3348 0.0000
Pr 0.0000 0.1907 0.3814
Pr 0.5000 0.6907 0.3814
Pr 0.0000 0.8093 0.6186
Pr 0.5000 0.3093 0.6186
Pb 0.0000 0.0000 0.0000
Pb 0.5000 0.5000 0.0000
Pb 0.8683 0.7679 0.2704
Pb 0.1317 0.5025 0.2704
Pb 0.3683 0.0025 0.2704
Pb 0.6317 0.2679 0.2704
Pb 0.1317 0.2321 0.7296
Pb 0.8683 0.4975 0.7296
Pb 0.6317 0.9975 0.7296
Pb 0.3683 0.7321 0.7296



Compound: PmPr5Pb4
Source: Alexandria
Functional: PBE-GGA
Structure: relaxed

Calculated values
- spin magnetization (μB/atom) = 0.00
- energy relative to the elements (meV/atom) = -397

Unit cell a=5.5873 b=7.4031 c=11.5678 alpha=129.53 beta=103.98 gamma=90.00
Element x y z (fractional)
Pm 0.5000 0.0000 0.0000
Pr 0.8331 0.6742 0.6663
Pr 0.8337 0.1613 0.6674
Pr 0.1663 0.8387 0.3326
Pr 0.5000 0.5000 0.0000
Pr 0.1669 0.3258 0.3337
Pb 0.3252 0.8998 0.6504
Pb 0.9913 0.7355 0.9827
Pb 0.6748 0.1002 0.3496
Pb 0.0087 0.2645 0.0173



Compound: Pm5PrPb5
Source: Alexandria
Functional: PBE-GGA
Structure: relaxed

Calculated values
- spin magnetization (μB/atom) = 0.06
- energy relative to the elements (meV/atom) = -329

Unit cell a=6.4097 b=7.9444 c=8.8422 alpha=105.98 beta=90.00 gamma=113.79
Element x y z (fractional)
Pm 0.6645 0.3289 0.3354
Pm 0.6683 0.3366 0.8340
Pm 0.0000 0.0000 0.5000
Pm 0.3317 0.6634 0.1660
Pm 0.3355 0.6711 0.6646
Pr 0.0000 0.0000 0.0000
Pb 0.8338 0.6676 0.1731
Pb 0.8339 0.6678 0.6626
Pb 0.5000 0.0000 0.0000
Pb 0.1661 0.3322 0.3374
Pb 0.1662 0.3324 0.8269



Compound: Pm2Pr5Pb
Source: Alexandria
Functional: PBE-GGA
Structure: relaxed

Calculated values
- spin magnetization (μB/atom) = 0.00
- energy relative to the elements (meV/atom) = -130

Unit cell a=7.3406 b=7.3396 c=6.8693 alpha=105.56 beta=105.57 gamma=119.85
Element x y z (fractional)
Pm 0.2112 0.7998 0.4556
Pm 0.7556 0.3442 0.5444
Pr 0.2428 0.3132 0.4998
Pr 0.3354 0.7559 0.0000
Pr 0.7993 0.2201 0.0000
Pr 0.7430 0.8134 0.5002
Pr 0.3228 0.2334 0.0000
Pb 0.8129 0.7430 0.0000



The lowest energy relative to the elements belongs to which entry? Pm3PrPb4



Copy entry 12 word for word.
Compound: Pm2Pr5Pb
Source: Alexandria
Functional: PBE-GGA
Structure: relaxed

Calculated values
- spin magnetization (μB/atom) = 0.00
- energy relative to the elements (meV/atom) = -130

Unit cell a=7.3406 b=7.3396 c=6.8693 alpha=105.56 beta=105.57 gamma=119.85
Element x y z (fractional)
Pm 0.2112 0.7998 0.4556
Pm 0.7556 0.3442 0.5444
Pr 0.2428 0.3132 0.4998
Pr 0.3354 0.7559 0.0000
Pr 0.7993 0.2201 0.0000
Pr 0.7430 0.8134 0.5002
Pr 0.3228 0.2334 0.0000
Pb 0.8129 0.7430 0.0000



Among the records above, which one has the lowest energy relative to the elements? Pm3PrPb4